{"formula": "Zr2Sn2Br", "functional": "GGA-PBEsol", "state": "relaxed", "crystal_system": "tetragonal", "formation_energy_uncorrected_ev_per_fu": 0.050, "lattice": [[-2.4877, 3.1117, -3.4955], [-1.9371, -4.2883, -2.4389], [-1.6950, 0.7101, 5.8564]], "species": ["Br", "Sn", "Sn", "Zr", "Zr"], "frac_coords": [[0.0000, 0.0000, 0.0000], [0.3583, 0.3583, 0.7165], [0.6417, 0.6417, 0.2835], [0.2500, 0.7500, 0.5000], [0.7500, 0.2500, 0.5000]]}